No. 1
Below is an optimized crystal structure of Ag4IBr3, with properties calculated at the PBE level.

Lattice parameters (Å, degrees): 9.049 7.828 7.369 90.00 90.00 90.00
Sites, in units of the cell vectors:
Ag 0.000 0.160 0.000
Ag 0.000 0.823 0.512
Ag 0.246 0.663 0.015
Ag 0.254 0.337 0.515
Ag 0.500 0.177 0.012
Ag 0.500 0.840 0.500
Ag 0.746 0.337 0.515
Ag 0.754 0.663 0.015
I 0.000 0.165 0.385
I 0.500 0.835 0.885
Br 0.000 0.826 0.885
Br 0.248 0.334 0.887
Br 0.252 0.666 0.387
Br 0.500 0.174 0.385
Br 0.748 0.666 0.387
Br 0.752 0.334 0.887

Calculated values
The uncorrected energy is -2.566 eV per atom. The space group is Pmn2_1, No. 31.


No. 2
Below is an optimized crystal structure of PaB3Ir6, with properties calculated at the PBE level.

Lattice parameters (Å, degrees): 6.235 6.235 6.235 51.78 51.78 51.78
Sites, in units of the cell vectors:
Pa 0.000 0.000 0.000
B 0.164 0.164 0.164
B 0.360 0.360 0.360
B 0.694 0.694 0.694
Ir 0.119 0.536 0.693
Ir 0.428 0.435 0.931
Ir 0.435 0.931 0.428
Ir 0.536 0.693 0.119
Ir 0.693 0.119 0.536
Ir 0.931 0.428 0.435

Calculated values
The uncorrected energy is -8.651 eV per atom. The calculation puts the formation energy at -37 kJ per mole of atoms. The space group is R3, No. 146.


No. 3
Below is an optimized crystal structure of Li3Pm3USe8, with properties calculated at the PBE level.

Lattice parameters (Å, degrees): 8.095 8.095 8.095 62.25 62.25 62.25
Sites, in units of the cell vectors:
Li 0.000 0.500 0.500
Li 0.500 0.000 0.500
Li 0.500 0.500 0.000
Pm 0.000 0.000 0.500
Pm 0.000 0.500 0.000
Pm 0.500 0.000 0.000
U 0.500 0.500 0.500
Se 0.253 0.253 0.253
Se 0.256 0.256 0.739
Se 0.256 0.739 0.256
Se 0.261 0.744 0.744
Se 0.739 0.256 0.256
Se 0.744 0.261 0.744
Se 0.744 0.744 0.261
Se 0.747 0.747 0.747

Calculated values
The uncorrected energy is -5.498 eV per atom. The space group is R-3m, No. 166.


No. 4
Below is an optimized crystal structure of BeCuTc, with properties calculated at the PBE level.

Lattice parameters (Å, degrees): 3.970 3.970 3.970 60.00 60.00 60.00
Sites, in units of the cell vectors:
Be 0.000 0.000 0.000
Cu 0.500 0.500 0.500
Tc 0.750 0.750 0.750

Calculated values
The uncorrected energy is -5.136 eV per atom. The calculation puts the formation energy at 89 kJ per mole of atoms. The space group is F-43m, No. 216.


Q: Which of these has the highest uncorrected energy?
A: Ag4IBr3


Q: The highest uncorrected energy belongs to which entry?
A: Ag4IBr3